# Ta2CuPt

A geometry-optimized Ta2CuPt structure (PBE, Alexandria via LeMat-Bulk).

For the density of states at the Fermi level, the calculation gives 2.4 states/eV/f.u. Its space group is P2/m, No. 10. The calculation puts the magnetic moment at 0.00 Bohr magnetons per cell. For the energy, the calculation gives -34.93 eV per cell.

abc: 2.8035 4.0646 5.5774
angles: 90.00 90.08 90.00
Last column: nearest neighbours and their distance in Å.
Element x y z (fractional)
Ta1 0.0001 0.0000 0.2470  4 Ta 2.75-2.82, 4 Cu 2.83, 4 Pt 2.84
Ta2 0.9999 0.0000 0.7530  4 Ta 2.75-2.82, 4 Cu 2.83, 4 Pt 2.84
Cu1 0.5000 0.5000 0.0000  2 Pt 2.79, 2 Cu 2.80, 8 Ta 2.83
Pt1 0.5000 0.5000 0.5000  2 Cu 2.79, 2 Pt 2.80, 8 Ta 2.84

# Ta2CuPt2

A geometry-optimized Ta2CuPt2 structure (PBE, Alexandria via LeMat-Bulk).

As for the polymorph energy (0 for the lowest one): 0.121 eV/atom. For the density of states at the Fermi level, the calculation gives 3.4 states/eV/f.u. Its space group is P4/mbm, No. 127. The calculation puts the magnetic moment at 0.00 Bohr magnetons per cell.

abc: 7.2190 7.2190 3.2941
angles: 90.00 90.00 90.00
Last column: nearest neighbours and their distance in Å.
Element x y z (fractional)
Ta1 0.1713 0.3287 0.0000  6 Pt 2.59-2.76
Ta2 0.3287 0.8287 0.0000  6 Pt 2.59-2.76
Ta3 0.6713 0.1713 0.0000  6 Pt 2.59-2.76
Ta4 0.8287 0.6713 0.0000  6 Pt 2.59-2.76
Cu1 0.0000 0.0000 0.5000  4 Pt 2.82, 8 Ta 3.14
Cu2 0.5000 0.5000 0.5000  4 Pt 2.82, 8 Ta 3.14
Pt1 0.1326 0.6326 0.5000  6 Ta 2.59-2.76, 1 Pt 2.71, 2 Cu 2.82
Pt2 0.3674 0.1326 0.5000  6 Ta 2.59-2.76, 1 Pt 2.71, 2 Cu 2.82
Pt3 0.6326 0.8674 0.5000  6 Ta 2.59-2.76, 1 Pt 2.71, 2 Cu 2.82
Pt4 0.8674 0.3674 0.5000  6 Ta 2.59-2.76, 1 Pt 2.71, 2 Cu 2.82

# Ta2CuPt

A geometry-optimized Ta2CuPt structure (PBE, Alexandria via LeMat-Bulk).

For the density of states at the Fermi level, the calculation gives 2.8 states/eV/f.u. Its space group is R-3m, No. 166. The calculation puts the magnetic moment at 0.00 Bohr magnetons per cell. For the energy, the calculation gives -34.02 eV per cell.

abc: 9.4256 9.4256 9.4256
angles: 17.36 17.36 17.36
Last column: nearest neighbours and their distance in Å.
Element x y z (fractional)
Ta1 0.2486 0.2486 0.2486  3 Cu 2.81, 6 Ta 2.84, 3 Pt 2.88
Ta2 0.7514 0.7514 0.7514  3 Cu 2.81, 6 Ta 2.84, 3 Pt 2.88
Cu1 0.5000 0.5000 0.5000  6 Ta 2.81, 6 Cu 2.84
Pt1 0.0000 0.0000 0.0000  6 Pt 2.84, 6 Ta 2.88

# TaCuPt2

A geometry-optimized TaCuPt2 structure (PBE, Alexandria via LeMat-Bulk).

For the density of states at the Fermi level, the calculation gives 2.3 states/eV/f.u. Its space group is R3m, No. 160. The calculation puts the magnetic moment at 0.00 Bohr magnetons per cell. For the energy, the calculation gives -28.82 eV per cell.

abc: 9.1748 9.1748 9.1748
angles: 17.70 17.70 17.70
Last column: nearest neighbours and their distance in Å.
Element x y z (fractional)
Ta1 0.0000 0.0000 0.0000  3 Cu 2.77, 3 Pt 2.77, 6 Ta 2.82
Cu1 0.7493 0.7493 0.7493  3 Pt 2.67, 3 Ta 2.77, 6 Cu 2.82
Pt1 0.2505 0.2505 0.2505  3 Ta 2.77, 9 Pt 2.82-2.93
Pt2 0.4942 0.4942 0.4942  3 Cu 2.67, 9 Pt 2.82-2.93

> Which formula does entry 2 have?

Ta2CuPt2

> Which value of magnetic moment does entry 4 give?

0.00 Bohr magnetons per cell

> magnetic moment of number 1 (Ta2CuPt)?

0.00 Bohr magnetons per cell